(1)
{"formula": "K2Mo2Se5", "functional": "PBE", "state": "optimized geometry", "e_tot_ev_per_atom": -5.18, "lattice": [[-4.503, 0.384, 5.244], [-0.621, -6.223, 2.969], [10.272, 4.482, 4.511]], "species": ["K", "K", "K", "K", "Mo", "Mo", "Mo", "Mo", "Se", "Se", "Se", "Se", "Se", "Se", "Se", "Se", "Se", "Se"], "fractional_positions": [[0.444, 0.098, 0.183], [0.902, 0.556, 0.317], [0.098, 0.444, 0.683], [0.556, 0.902, 0.817], [0.063, 0.747, 0.059], [0.253, 0.937, 0.441], [0.747, 0.063, 0.559], [0.937, 0.253, 0.941], [0.752, 0.641, 0.034], [0.877, 0.141, 0.108], [0.304, 0.696, 0.250], [0.859, 0.123, 0.392], [0.359, 0.248, 0.466], [0.641, 0.752, 0.534], [0.141, 0.877, 0.608], [0.696, 0.304, 0.750], [0.123, 0.859, 0.892], [0.248, 0.359, 0.966]]}

(2)
{"formula": "NaTePtAu", "functional": "PBE", "state": "optimized geometry", "e_tot_ev_per_atom": -3.38, "relative_energy_mev_per_atom": 164, "lattice": [[0.000, 3.428, 3.428], [3.428, 0.000, 3.428], [3.428, 3.428, 0.000]], "species": ["Au", "Na", "Pt", "Te"], "fractional_positions": [[0.250, 0.250, 0.250], [0.750, 0.750, 0.750], [0.500, 0.500, 0.500], [0.000, 0.000, 0.000]]}

(3)
{"formula": "Gd2ErSb3", "functional": "PBE", "state": "optimized geometry", "e_tot_ev_per_atom": -5.51, "lattice": [[4.395, 0.000, 0.000], [-2.197, 3.806, 0.000], [0.000, 0.000, 10.757]], "species": ["Er", "Gd", "Gd", "Sb", "Sb", "Sb"], "fractional_positions": [[0.000, 0.000, 0.500], [0.333, 0.667, 0.169], [0.667, 0.333, 0.831], [0.000, 0.000, 0.000], [0.667, 0.333, 0.337], [0.333, 0.667, 0.663]]}

(4)
{"formula": "SmCoSi2Au", "functional": "PBE", "state": "optimized geometry", "e_tot_ev_per_atom": -5.80, "lattice": [[-2.041, 2.041, 5.106], [2.041, -2.041, 5.106], [2.041, 2.041, -5.106]], "species": ["Au", "Co", "Si", "Si", "Sm"], "fractional_positions": [[0.250, 0.750, 0.500], [0.750, 0.250, 0.500], [0.384, 0.384, 0.000], [0.616, 0.616, 0.000], [0.000, 0.000, 0.000]]}

(5)
{"formula": "ErZnAg4", "functional": "PBE", "state": "optimized geometry", "formation_enthalpy_0k_ev_per_atom": -0.119, "e_tot_ev_per_atom": -2.97, "lattice": [[-4.137, -3.639, 0.010], [-1.079, -2.906, 4.555], [-1.094, 5.411, -0.136]], "species": ["Ag", "Ag", "Ag", "Ag", "Er", "Zn"], "fractional_positions": [[0.625, 0.124, 0.373], [0.124, 0.625, 0.373], [0.626, 0.626, 0.375], [0.625, 0.625, 0.875], [0.250, 0.250, 0.750], [0.999, 0.999, 0.003]]}

(6)
{"formula": "FeCoSnSe3", "functional": "PBE", "state": "optimized geometry", "e_tot_ev_per_atom": -5.13, "relative_energy_mev_per_atom": 0, "lattice": [[6.624, -1.788, 0.000], [6.624, 1.788, 0.000], [0.000, 0.000, 9.750]], "species": ["Co", "Co", "Fe", "Fe", "Se", "Se", "Se", "Se", "Se", "Se", "Sn", "Sn"], "fractional_positions": [[0.448, 0.448, 0.250], [0.552, 0.552, 0.750], [0.000, 0.000, 0.000], [0.000, 0.000, 0.500], [0.372, 0.372, 0.032], [0.060, 0.060, 0.250], [0.372, 0.372, 0.468], [0.628, 0.628, 0.532], [0.940, 0.940, 0.750], [0.628, 0.628, 0.968], [0.781, 0.781, 0.250], [0.219, 0.219, 0.750]]}

(7)
{"formula": "Dy2Er4TmNi2Te2", "functional": "PBE", "state": "optimized geometry", "e_tot_ev_per_atom": -5.16, "relative_energy_mev_per_atom": 0, "lattice": [[-1.908, 7.767, 4.764], [1.908, -7.767, 4.764], [1.908, 7.767, -4.764]], "species": ["Dy", "Dy", "Er", "Er", "Er", "Er", "Ni", "Ni", "Te", "Te", "Tm"], "fractional_positions": [[0.396, 0.263, 0.133], [0.131, 0.263, 0.867], [0.376, 0.061, 0.315], [0.764, 0.410, 0.354], [0.056, 0.410, 0.646], [0.746, 0.061, 0.685], [0.990, 0.754, 0.236], [0.518, 0.754, 0.764], [0.017, 0.017, 0.000], [0.419, 0.919, 0.500], [0.682, 0.682, 0.000]]}

(8)
{"formula": "KDyO3", "functional": "PBE", "state": "optimized geometry", "e_tot_ev_per_atom": -5.49, "lattice": [[-5.404, 2.136, -0.534], [-0.105, 4.951, -3.088], [-2.156, -0.806, -5.363]], "species": ["Dy", "Dy", "K", "K", "O", "O", "O", "O", "O", "O"], "fractional_positions": [[0.250, 0.250, 0.250], [0.750, 0.750, 0.750], [0.000, 0.000, 0.000], [0.500, 0.500, 0.500], [0.750, 0.424, 0.076], [0.576, 0.924, 0.250], [0.076, 0.750, 0.424], [0.924, 0.250, 0.576], [0.424, 0.076, 0.750], [0.250, 0.576, 0.924]]}

(9)
{"formula": "FeCuSn2", "functional": "PBE", "state": "optimized geometry", "e_tot_ev_per_atom": -4.46, "lattice": [[-3.220, 2.147, 2.799], [-4.205, 1.364, -1.809], [-3.995, -2.302, 1.245]], "species": ["Cu", "Fe", "Sn", "Sn"], "fractional_positions": [[0.500, 0.500, 0.500], [0.250, 0.250, 0.250], [0.000, 0.000, 0.000], [0.750, 0.750, 0.750]]}

(10)
{"formula": "TeIr2", "functional": "PBE", "state": "optimized geometry", "e_tot_ev_per_atom": -4.47, "relative_energy_mev_per_atom": 1776, "lattice": [[4.095, 2.364, 6.687], [-4.095, 2.364, 6.687], [0.000, -4.728, 6.687]], "species": ["Ir", "Ir", "Ir", "Ir", "Te", "Te"], "fractional_positions": [[0.875, 0.375, 0.375], [0.375, 0.875, 0.375], [0.375, 0.375, 0.375], [0.375, 0.375, 0.875], [0.250, 0.250, 0.250], [0.500, 0.500, 0.500]]}

(11)
{"formula": "NbAgCl3", "functional": "PBE", "state": "optimized geometry", "e_tot_ev_per_atom": -4.27, "relative_energy_mev_per_atom": 0, "lattice": [[3.418, 1.974, 5.775], [-3.418, 1.974, 5.775], [0.000, -3.947, 5.775]], "species": ["Ag", "Ag", "Cl", "Cl", "Cl", "Cl", "Cl", "Cl", "Nb", "Nb"], "fractional_positions": [[0.358, 0.358, 0.358], [0.642, 0.642, 0.642], [0.414, 0.782, 0.070], [0.930, 0.586, 0.218], [0.782, 0.070, 0.414], [0.218, 0.930, 0.586], [0.070, 0.414, 0.782], [0.586, 0.218, 0.930], [0.170, 0.170, 0.170], [0.830, 0.830, 0.830]]}

(12)
{"formula": "TbZrS2Br2", "functional": "PBE", "state": "optimized geometry", "e_tot_ev_per_atom": -5.82, "lattice": [[-1.153, -3.703, -0.079], [4.614, -1.391, -2.131], [3.362, -1.219, 8.076]], "species": ["Br", "Br", "S", "S", "Tb", "Zr"], "fractional_positions": [[0.000, 0.500, 0.332], [0.500, 0.000, 0.651], [0.500, 0.000, 0.107], [0.000, 0.500, 0.916], [0.000, 0.000, 0.883], [0.500, 0.500, 0.111]]}